DFT (PBE) results for an optimized crystal structure of Rb2Pa2TlO7.

Unit cell a=4.439 b=4.439 c=11.948 alpha=79.31 beta=79.31 gamma=90.00
Each line ends with the local moment (μB).
Element x y z (fractional)
Pa (0.595, 0.595, 0.810)  0.05
Pa (0.405, 0.405, 0.190)  0.05
O (0.094, 0.594, 0.811)  0.06
O (0.406, 0.906, 0.189)  0.06
O (0.906, 0.406, 0.189)  0.06
O (0.500, 0.500, 0.000)  0.07
O (0.682, 0.682, 0.634)  0.11
O (0.318, 0.318, 0.366)  0.11
O (0.594, 0.094, 0.811)  0.06
Rb (0.809, 0.809, 0.382)  0.00
Rb (0.191, 0.191, 0.618)  0.00
Tl (0.000, 0.000, 0.000)  0.02

Values from the calculation:
E_tot, eV/f.u.: -89.013
Raw formation energy, eV per atom: -2.584
Space group: I4/mmm, No. 139
Total magnetization, μB/f.u.: 0.8
Density of states at the Fermi level, states/eV per cell: 10.9